Compound: YMn2Be
Source: the Alexandria database
Functional: PBEsol
Structure: relaxed Values from VASP.

```
&SYSTEM
  ibrav = 0, nat = 4, ntyp = 3
/
ATOMIC_SPECIES
Y 88.91 Y.upf
Mn 54.94 Mn.upf
Be 9.01 Be.upf
ATOMIC_POSITIONS crystal
Y 0.000 0.000 0.000
Mn 0.195 0.195 0.195
Mn 0.508 0.508 0.508
Be 0.807 0.807 0.807
CELL_PARAMETERS angstrom
1.890 1.091 4.869
-1.890 1.091 4.869
0.000 -2.183 4.869
```

Results
M_tot: 0.001 μB per formula unit
SG: R3m, No. 160
calculated volume: 60.3 Å³ per cell
VASP energy: -30.472 eV/f.u.

Compound: YMn2Be
Source: the Alexandria database
Functional: PBEsol
Structure: relaxed Values from VASP.

```
&SYSTEM
  ibrav = 0, nat = 4, ntyp = 3
/
ATOMIC_SPECIES
Y 88.91 Y.upf
Mn 54.94 Mn.upf
Be 9.01 Be.upf
ATOMIC_POSITIONS crystal
Y 0.000 0.000 0.000
Mn 0.500 0.500 0.500
Mn 0.750 0.750 0.750
Be 0.250 0.250 0.250
CELL_PARAMETERS angstrom
0.000 3.107 3.107
3.107 0.000 3.107
3.107 3.107 0.000
```

Results
M_tot: 0.899 μB per formula unit
SG: F-43m, No. 216
calculated volume: 60.0 Å³ per cell
VASP energy: -28.590 eV/f.u.

Compound: Y2MnBe
Source: the Alexandria database
Functional: PBEsol
Structure: relaxed Values from VASP.

```
&SYSTEM
  ibrav = 0, nat = 4, ntyp = 3
/
ATOMIC_SPECIES
Y 88.91 Y.upf
Mn 54.94 Mn.upf
Be 9.01 Be.upf
ATOMIC_POSITIONS crystal
Y 0.000 0.500 0.000
Y 0.500 0.000 0.000
Mn 0.000 0.000 0.500
Be 0.500 0.500 0.500
CELL_PARAMETERS angstrom
4.854 0.000 0.000
0.000 4.854 0.000
0.000 0.000 3.378
```

Results
M_tot: 2.867 μB per formula unit
SG: P4/mmm, No. 123
calculated volume: 79.6 Å³ per cell
VASP energy: -26.455 eV/f.u.

Compound: YMn4Be
Source: the Alexandria database
Functional: PBEsol
Structure: relaxed Values from VASP.

```
&SYSTEM
  ibrav = 0, nat = 6, ntyp = 3
/
ATOMIC_SPECIES
Y 88.91 Y.upf
Mn 54.94 Mn.upf
Be 9.01 Be.upf
ATOMIC_POSITIONS crystal
Y 0.000 0.000 0.000
Mn 0.130 0.623 0.623
Mn 0.623 0.130 0.623
Mn 0.623 0.623 0.130
Mn 0.623 0.623 0.623
Be 0.250 0.250 0.250
CELL_PARAMETERS angstrom
0.000 3.378 3.378
3.378 0.000 3.378
3.378 3.378 0.000
```

Results
M_tot: 0.002 μB per formula unit
SG: F-43m, No. 216
calculated volume: 77.1 Å³ per cell
VASP energy: -48.096 eV/f.u.

Compound: YMnBe3
Source: the Alexandria database
Functional: PBEsol
Structure: relaxed Values from VASP.

```
&SYSTEM
  ibrav = 0, nat = 5, ntyp = 3
/
ATOMIC_SPECIES
Y 88.91 Y.upf
Mn 54.94 Mn.upf
Be 9.01 Be.upf
ATOMIC_POSITIONS crystal
Y 0.000 0.000 0.000
Mn 0.500 0.500 0.500
Be 0.000 0.500 0.500
Be 0.500 0.000 0.500
Be 0.500 0.500 0.000
CELL_PARAMETERS angstrom
4.090 0.000 0.000
0.000 4.090 0.000
0.000 0.000 4.090
```

Results
M_tot: 0.000 μB per formula unit
SG: Pm-3m, No. 221
calculated volume: 68.4 Å³ per cell
VASP energy: -27.537 eV/f.u.

Compound: Y2MnBe
Source: the Alexandria database
Functional: PBEsol
Structure: relaxed Values from VASP.

```
&SYSTEM
  ibrav = 0, nat = 4, ntyp = 3
/
ATOMIC_SPECIES
Y 88.91 Y.upf
Mn 54.94 Mn.upf
Be 9.01 Be.upf
ATOMIC_POSITIONS crystal
Y 0.000 0.000 0.000
Y 0.708 0.208 0.500
Mn 0.423 0.423 0.000
Be 0.263 0.763 0.500
CELL_PARAMETERS angstrom
-1.660 2.322 5.094
1.660 -2.322 5.094
1.660 2.322 -5.094
```

Results
M_tot: 2.510 μB per formula unit
SG: Imm2, No. 44
calculated volume: 78.5 Å³ per cell
VASP energy: -26.569 eV/f.u.

Compound: Mn2BeZn
Source: the Alexandria database
Functional: PBEsol
Structure: relaxed Values from VASP.

```
&SYSTEM
  ibrav = 0, nat = 4, ntyp = 3
/
ATOMIC_SPECIES
Mn 54.94 Mn.upf
Be 9.01 Be.upf
Zn 65.41 Zn.upf
ATOMIC_POSITIONS crystal
Mn 0.000 0.000 0.000
Mn 0.250 0.250 0.250
Be 0.750 0.750 0.750
Zn 0.500 0.500 0.500
CELL_PARAMETERS angstrom
0.000 2.771 2.771
2.771 0.000 2.771
2.771 2.771 0.000
```

Results
M_tot: 0.002 μB per formula unit
SG: F-43m, No. 216
energy above the most stable polymorph in this dataset: 73.9 meV/atom
calculated volume: 42.6 Å³ per cell

Compound: MnBe4Zn
Source: the Alexandria database
Functional: PBEsol
Structure: relaxed Values from VASP.

```
&SYSTEM
  ibrav = 0, nat = 6, ntyp = 3
/
ATOMIC_SPECIES
Mn 54.94 Mn.upf
Be 9.01 Be.upf
Zn 65.41 Zn.upf
ATOMIC_POSITIONS crystal
Mn 0.000 0.000 0.000
Be 0.373 0.373 0.373
Be 0.373 0.373 0.880
Be 0.373 0.880 0.373
Be 0.880 0.373 0.373
Zn 0.750 0.750 0.750
CELL_PARAMETERS angstrom
0.000 3.025 3.025
3.025 0.000 3.025
3.025 3.025 0.000
```

Results
M_tot: 2.637 μB per formula unit
SG: F-43m, No. 216
calculated volume: 55.4 Å³ per cell
VASP energy: -27.562 eV/f.u.

Compound: MnBeZn
Source: the Alexandria database
Functional: PBEsol
Structure: relaxed Values from VASP.

```
&SYSTEM
  ibrav = 0, nat = 3, ntyp = 3
/
ATOMIC_SPECIES
Mn 54.94 Mn.upf
Be 9.01 Be.upf
Zn 65.41 Zn.upf
ATOMIC_POSITIONS crystal
Mn 0.000 0.000 0.000
Be 0.354 0.354 0.000
Zn 0.692 0.692 0.000
CELL_PARAMETERS angstrom
-1.318 1.318 4.676
1.318 -1.318 4.676
1.318 1.318 -4.676
```

Results
M_tot: 2.276 μB per formula unit
SG: I4mm, No. 107
energy above the most stable polymorph in this dataset: 0.0 meV/atom
calculated volume: 32.5 Å³ per cell

Compound: Mn2BeZn
Source: the Alexandria database
Functional: PBEsol
Structure: relaxed Values from VASP.

```
&SYSTEM
  ibrav = 0, nat = 4, ntyp = 3
/
ATOMIC_SPECIES
Mn 54.94 Mn.upf
Be 9.01 Be.upf
Zn 65.41 Zn.upf
ATOMIC_POSITIONS crystal
Mn 0.000 0.000 0.000
Mn 0.500 0.500 0.000
Be 0.000 0.500 0.500
Zn 0.500 0.000 0.500
CELL_PARAMETERS angstrom
2.744 0.000 0.000
0.000 3.862 0.000
0.000 0.000 4.049
```

Results
M_tot: 0.016 μB per formula unit
SG: Pmmm, No. 47
energy above the most stable polymorph in this dataset: 175.8 meV/atom
calculated volume: 42.9 Å³ per cell

Compound: Mn2BeZn
Source: the Alexandria database
Functional: PBEsol
Structure: relaxed Values from VASP.

```
&SYSTEM
  ibrav = 0, nat = 4, ntyp = 3
/
ATOMIC_SPECIES
Mn 54.94 Mn.upf
Be 9.01 Be.upf
Zn 65.41 Zn.upf
ATOMIC_POSITIONS crystal
Mn 0.000 0.000 0.000
Mn 0.500 0.500 0.213
Be 0.500 0.500 0.773
Zn 0.000 0.000 0.517
CELL_PARAMETERS angstrom
2.686 0.000 0.000
0.000 2.686 0.000
0.000 0.000 5.783
```

Results
M_tot: 0.000 μB per formula unit
SG: P4mm, No. 99
energy above the most stable polymorph in this dataset: 0.0 meV/atom
calculated volume: 41.7 Å³ per cell

Compound: MnBeZn
Source: the Alexandria database
Functional: PBEsol
Structure: relaxed Values from VASP.

```
&SYSTEM
  ibrav = 0, nat = 3, ntyp = 3
/
ATOMIC_SPECIES
Mn 54.94 Mn.upf
Be 9.01 Be.upf
Zn 65.41 Zn.upf
ATOMIC_POSITIONS crystal
Mn 0.000 0.000 0.000
Be 0.250 0.250 0.250
Zn 0.500 0.500 0.500
CELL_PARAMETERS angstrom
0.000 2.647 2.647
2.647 0.000 2.647
2.647 2.647 0.000
```

Results
M_tot: 2.743 μB per formula unit
SG: F-43m, No. 216
energy above the most stable polymorph in this dataset: 297.0 meV/atom
calculated volume: 37.1 Å³ per cell

Compound: Mn2BeZn
Source: the Alexandria database
Functional: PBEsol
Structure: relaxed Values from VASP.

```
&SYSTEM
  ibrav = 0, nat = 4, ntyp = 3
/
ATOMIC_SPECIES
Mn 54.94 Mn.upf
Be 9.01 Be.upf
Zn 65.41 Zn.upf
ATOMIC_POSITIONS crystal
Mn 0.241 0.241 0.000
Mn 0.759 0.759 0.000
Be 0.000 0.500 0.500
Zn 0.500 0.000 0.500
CELL_PARAMETERS angstrom
-1.393 1.883 3.952
1.393 -1.883 3.952
1.393 1.883 -3.952
```

Results
M_tot: 0.415 μB per formula unit
SG: Immm, No. 71
energy above the most stable polymorph in this dataset: 177.7 meV/atom
calculated volume: 41.5 Å³ per cell

Compound: ZrMn4Be
Source: the Alexandria database
Functional: PBEsol
Structure: relaxed Values from VASP.

```
&SYSTEM
  ibrav = 0, nat = 6, ntyp = 3
/
ATOMIC_SPECIES
Zr 91.22 Zr.upf
Mn 54.94 Mn.upf
Be 9.01 Be.upf
ATOMIC_POSITIONS crystal
Zr 0.000 0.000 0.000
Mn 0.130 0.623 0.623
Mn 0.623 0.130 0.623
Mn 0.623 0.623 0.130
Mn 0.623 0.623 0.623
Be 0.250 0.250 0.250
CELL_PARAMETERS angstrom
0.000 3.318 3.318
3.318 0.000 3.318
3.318 3.318 0.000
```

Results
M_tot: 0.002 μB per formula unit
SG: F-43m, No. 216
calculated volume: 73.0 Å³ per cell
VASP energy: -51.914 eV/f.u.

Compound: ZrMn2Be
Source: the Alexandria database
Functional: PBEsol
Structure: relaxed Values from VASP.

```
&SYSTEM
  ibrav = 0, nat = 4, ntyp = 3
/
ATOMIC_SPECIES
Zr 91.22 Zr.upf
Mn 54.94 Mn.upf
Be 9.01 Be.upf
ATOMIC_POSITIONS crystal
Zr 0.000 0.000 0.000
Mn 0.265 0.500 0.621
Mn 0.555 0.000 0.496
Be 0.602 0.500 0.235
CELL_PARAMETERS angstrom
2.882 0.000 0.000
0.000 3.809 0.000
-1.041 0.000 4.630
```

Results
M_tot: 0.001 μB per formula unit
SG: Pm, No. 6
calculated volume: 50.8 Å³ per cell
VASP energy: -32.207 eV/f.u.

Compound: ZrMn2Be
Source: the Alexandria database
Functional: PBEsol
Structure: relaxed Values from VASP.

```
&SYSTEM
  ibrav = 0, nat = 4, ntyp = 3
/
ATOMIC_SPECIES
Zr 91.22 Zr.upf
Mn 54.94 Mn.upf
Be 9.01 Be.upf
ATOMIC_POSITIONS crystal
Zr 0.000 0.000 0.000
Mn 0.250 0.750 0.500
Mn 0.750 0.250 0.500
Be 0.500 0.500 0.000
CELL_PARAMETERS angstrom
-1.905 1.905 3.677
1.905 -1.905 3.677
1.905 1.905 -3.677
```

Results
M_tot: 4.709 μB per formula unit
SG: I4/mmm, No. 139
calculated volume: 53.4 Å³ per cell
VASP energy: -31.934 eV/f.u.

Compound: ZrMn2Be
Source: the Alexandria database
Functional: PBEsol
Structure: relaxed Values from VASP.

```
&SYSTEM
  ibrav = 0, nat = 4, ntyp = 3
/
ATOMIC_SPECIES
Zr 91.22 Zr.upf
Mn 54.94 Mn.upf
Be 9.01 Be.upf
ATOMIC_POSITIONS crystal
Zr 0.000 0.000 0.000
Mn 0.235 0.235 0.662
Mn 0.765 0.765 0.338
Be 0.500 0.500 0.500
CELL_PARAMETERS angstrom
4.012 -1.496 0.000
4.012 1.496 0.000
-1.039 0.000 4.341
```

Results
M_tot: 0.001 μB per formula unit
SG: C2/m, No. 12
calculated volume: 52.1 Å³ per cell
VASP energy: -32.158 eV/f.u.

Compound: BeMo
Source: the Alexandria database
Functional: PBEsol
Structure: relaxed Values from VASP.

```
&SYSTEM
  ibrav = 0, nat = 4, ntyp = 2
/
ATOMIC_SPECIES
Be 9.01 Be.upf
Mo 95.94 Mo.upf
ATOMIC_POSITIONS crystal
Be 0.155 0.155 0.350
Be 0.845 0.845 0.650
Mo 0.401 0.401 0.183
Mo 0.599 0.599 0.817
CELL_PARAMETERS angstrom
4.533 -1.252 0.000
4.533 1.252 0.000
-1.255 0.000 4.177
```

Results
M_tot: 0.000 μB per formula unit
SG: C2/m, No. 12
energy above the most stable polymorph in this dataset: 270.5 meV/atom
calculated volume: 47.4 Å³ per cell

Compound: Be4Mo3
Source: the Alexandria database
Functional: PBEsol
Structure: relaxed Values from VASP.

```
&SYSTEM
  ibrav = 0, nat = 7, ntyp = 2
/
ATOMIC_SPECIES
Be 9.01 Be.upf
Mo 95.94 Mo.upf
ATOMIC_POSITIONS crystal
Be 0.076 0.076 0.000
Be 0.376 0.376 0.000
Be 0.624 0.624 0.000
Be 0.924 0.924 0.000
Mo 0.199 0.199 0.000
Mo 0.500 0.500 0.000
Mo 0.801 0.801 0.000
CELL_PARAMETERS angstrom
-1.319 1.319 11.331
1.319 -1.319 11.331
1.319 1.319 -11.331
```

Results
M_tot: 0.000 μB per formula unit
SG: I4/mmm, No. 139
calculated volume: 78.8 Å³ per cell
VASP energy: -50.656 eV/f.u.

Compound: Be2Mo
Source: the Alexandria database
Functional: PBEsol
Structure: relaxed Values from VASP.

```
&SYSTEM
  ibrav = 0, nat = 12, ntyp = 2
/
ATOMIC_SPECIES
Be 9.01 Be.upf
Mo 95.94 Mo.upf
ATOMIC_POSITIONS crystal
Be 0.000 0.000 0.000
Be 0.000 0.000 0.500
Be 0.170 0.339 0.250
Be 0.170 0.830 0.250
Be 0.339 0.170 0.750
Be 0.661 0.830 0.250
Be 0.830 0.170 0.750
Be 0.830 0.661 0.750
Mo 0.333 0.667 0.563
Mo 0.333 0.667 0.937
Mo 0.667 0.333 0.063
Mo 0.667 0.333 0.437
CELL_PARAMETERS angstrom
4.412 0.000 0.000
-2.206 3.821 0.000
0.000 0.000 7.258
```

Results
M_tot: 0.000 μB per formula unit
SG: P6_3/mmc, No. 194
energy above the most stable polymorph in this dataset: 0.0 meV/atom
calculated volume: 122.4 Å³ per cell